# CsPuMn2Cl8, optimized geometry, DFT GGA-PBE
data_CsPuMn2Cl8
_chemical_formula_sum 'Cs1 Pu1 Mn2 Cl8'
_cell_length_a 6.643
_cell_length_b 6.643
_cell_length_c 10.970
_cell_angle_alpha 72.38
_cell_angle_beta 72.38
_cell_angle_gamma 60.00
_symmetry_space_group_name_H-M 'P 1'
_symmetry_Int_Tables_number 1
loop_
_symmetry_equiv_pos_as_xyz
'x,y,z'
loop_
_atom_site_label
_atom_site_fract_x
_atom_site_fract_y
_atom_site_fract_z
Cs1 0.500 0.500 0.500
Pu1 0.000 0.000 0.000
Mn1 0.254 0.254 0.239
Mn2 0.746 0.746 0.761
Cl1 0.180 0.180 0.460
Cl2 0.619 0.277 0.162
Cl3 0.820 0.820 0.540
Cl4 0.943 0.619 0.162
Cl5 0.057 0.381 0.838
Cl6 0.277 0.943 0.162
Cl7 0.723 0.057 0.838
Cl8 0.381 0.723 0.838
# D(E_F) = 9.531 states/eV/f.u.
# DFT total energy = -5.5305 eV per atom
# uncorrected formation energy = -145 kJ/mol of atoms

# Cs2RbMn2Cl7, optimized geometry, DFT GGA-PBE
data_Cs2RbMn2Cl7
_chemical_formula_sum 'Cs2 Rb1 Mn2 Cl7'
_cell_length_a 5.157
_cell_length_b 5.157
_cell_length_c 14.064
_cell_angle_alpha 79.43
_cell_angle_beta 79.43
_cell_angle_gamma 90.00
_symmetry_space_group_name_H-M 'P 1'
_symmetry_Int_Tables_number 1
loop_
_symmetry_equiv_pos_as_xyz
'x,y,z'
loop_
_atom_site_label
_atom_site_fract_x
_atom_site_fract_y
_atom_site_fract_z
Cs1 0.818 0.818 0.363
Cs2 0.182 0.182 0.637
Rb1 0.000 0.000 0.000
Mn1 0.595 0.595 0.811
Mn2 0.405 0.405 0.189
Cl1 0.500 0.500 0.000
Cl2 0.313 0.313 0.373
Cl3 0.687 0.687 0.627
Cl4 0.908 0.408 0.183
Cl5 0.408 0.908 0.183
Cl6 0.592 0.092 0.817
Cl7 0.092 0.592 0.817
# DFT total energy = -4.3869 eV per atom
# uncorrected formation energy = -150 kJ/mol of atoms

# CsRbMn2Cl8, optimized geometry, DFT GGA-PBE
data_CsRbMn2Cl8
_chemical_formula_sum 'Cs1 Rb1 Mn2 Cl8'
_cell_length_a 6.876
_cell_length_b 6.876
_cell_length_c 10.796
_cell_angle_alpha 90.00
_cell_angle_beta 90.00
_cell_angle_gamma 120.00
_symmetry_space_group_name_H-M 'P 1'
_symmetry_Int_Tables_number 1
loop_
_symmetry_equiv_pos_as_xyz
'x,y,z'
loop_
_atom_site_label
_atom_site_fract_x
_atom_site_fract_y
_atom_site_fract_z
Cs1 0.000 0.000 0.000
Rb1 0.000 0.000 0.500
Mn1 0.667 0.333 0.222
Mn2 0.333 0.667 0.778
Cl1 0.333 0.667 0.982
Cl2 0.355 0.331 0.281
Cl3 0.669 0.024 0.281
Cl4 0.667 0.333 0.018
Cl5 0.331 0.976 0.719
Cl6 0.645 0.669 0.719
Cl7 0.024 0.355 0.719
Cl8 0.976 0.645 0.281
# D(E_F) = 18.570 states/eV/f.u.
# DFT total energy = -4.1780 eV per atom
# uncorrected formation energy = -122 kJ/mol of atoms

# CsRb2MnCl5, optimized geometry, DFT GGA-PBE
data_CsRb2MnCl5
_chemical_formula_sum 'Cs2 Rb4 Mn2 Cl10'
_cell_length_a 9.120
_cell_length_b 9.120
_cell_length_c 9.790
_cell_angle_alpha 117.76
_cell_angle_beta 117.76
_cell_angle_gamma 90.00
_symmetry_space_group_name_H-M 'P 1'
_symmetry_Int_Tables_number 1
loop_
_symmetry_equiv_pos_as_xyz
'x,y,z'
loop_
_atom_site_label
_atom_site_fract_x
_atom_site_fract_y
_atom_site_fract_z
Cs1 0.250 0.250 0.500
Cs2 0.750 0.750 0.500
Rb1 0.167 0.333 0.000
Rb2 0.667 0.167 0.000
Rb3 0.333 0.833 0.000
Rb4 0.833 0.667 0.000
Mn1 0.250 0.750 0.500
Mn2 0.750 0.250 0.500
Cl1 0.009 0.509 0.300
Cl2 0.708 0.208 0.700
Cl3 0.991 0.491 0.700
Cl4 0.208 0.991 0.700
Cl5 0.491 0.708 0.700
Cl6 0.792 0.009 0.300
Cl7 0.509 0.292 0.300
Cl8 0.292 0.792 0.300
Cl9 0.500 0.500 0.000
Cl10 0.000 0.000 0.000
# D(E_F) = 0.000 states/eV/f.u.
# DFT total energy = -4.0668 eV per atom
# uncorrected formation energy = -165 kJ/mol of atoms